## A
CoTeRu | PBE | optimized geometry Values from VASP.

Geometry as Quantum ESPRESSO input:
```
&SYSTEM
  ibrav = 0, nat = 3, ntyp = 3
/
ATOMIC_SPECIES
Co 58.93 Co.upf
Ru 101.07 Ru.upf
Te 127.60 Te.upf
ATOMIC_POSITIONS angstrom
Co 0.000 0.000 0.039
Ru 0.000 1.792 1.915
Te 1.552 0.896 3.968
CELL_PARAMETERS angstrom
3.103 0.000 0.000
-1.552 2.688 0.000
0.000 0.000 5.922
```

## Properties
spin magnetization = 2.0 μB/cell
space-group type = No. 156

## B
CoTeRu | PBE | optimized geometry Values from VASP.

Geometry as Quantum ESPRESSO input:
```
&SYSTEM
  ibrav = 0, nat = 6, ntyp = 3
/
ATOMIC_SPECIES
Co 58.93 Co.upf
Ru 101.07 Ru.upf
Te 127.60 Te.upf
ATOMIC_POSITIONS angstrom
Co 0.220 -1.677 -1.155
Co 1.266 -2.941 3.343
Ru -0.427 -4.847 3.327
Ru -0.128 -3.381 1.254
Te 0.952 -4.482 5.521
Te 1.581 -1.401 1.165
CELL_PARAMETERS angstrom
-0.972 -2.950 -2.227
3.662 0.567 0.930
-0.995 -4.874 6.890
```

## Properties
spin magnetization = 1.3 μB/cell
space-group type = No. 187

## C
CoTeRu | PBE | optimized geometry Values from VASP.

Geometry as Quantum ESPRESSO input:
```
&SYSTEM
  ibrav = 0, nat = 3, ntyp = 3
/
ATOMIC_SPECIES
Co 58.93 Co.upf
Ru 101.07 Ru.upf
Te 127.60 Te.upf
ATOMIC_POSITIONS angstrom
Co 4.244 2.450 1.733
Ru 2.122 1.225 0.866
Te 0.000 0.000 0.000
CELL_PARAMETERS angstrom
4.244 0.000 0.000
2.122 3.675 0.000
2.122 1.225 3.465
```

## Properties
spin magnetization = 1.8 μB/cell
space-group type = No. 216

Stability, descending: C, B, A

## A
CoTeRu | PBE | optimized geometry Values from VASP.

Geometry as Quantum ESPRESSO input:
```
&SYSTEM
  ibrav = 0, nat = 3, ntyp = 3
/
ATOMIC_SPECIES
Co 58.93 Co.upf
Ru 101.07 Ru.upf
Te 127.60 Te.upf
ATOMIC_POSITIONS angstrom
Co -0.619 0.940 2.459
Ru -2.372 1.189 0.189
Te -2.476 -0.613 2.203
CELL_PARAMETERS angstrom
-2.291 3.026 -1.734
-1.759 -3.661 0.956
-0.709 1.076 2.814
```

## Properties
spin magnetization = 0.4 μB/cell
space-group type = No. 156

## B
CoTeRu | PBE | optimized geometry Values from VASP.

Geometry as Quantum ESPRESSO input:
```
&SYSTEM
  ibrav = 0, nat = 3, ntyp = 3
/
ATOMIC_SPECIES
Co 58.93 Co.upf
Ru 101.07 Ru.upf
Te 127.60 Te.upf
ATOMIC_POSITIONS angstrom
Co 6.617 4.159 0.000
Ru 2.239 1.407 0.000
Te 4.470 2.810 0.000
CELL_PARAMETERS angstrom
4.646 0.003 0.004
2.017 4.185 -0.004
-3.100 -2.463 2.431
```

## Properties
spin magnetization = 1.9 μB/cell
space-group type = No. 44

Stability, descending: B, A